Compound: TlTcAgSe3
Source: OQMD
Functional: PBE
Structure: relaxed

```
data_TlTcAgSe3
_cell_length_a 7.9874
_cell_length_b 3.7477
_cell_length_c 9.9511
_cell_angle_alpha 90.00
_cell_angle_beta 109.76
_cell_angle_gamma 90.00
_symmetry_space_group_name_H-M 'P 1 21/m 1'
_symmetry_Int_Tables_number 11
loop_
_symmetry_equiv_pos_as_xyz
'x,y,z'
'-x,-y,-z'
'-x,y+1/2,-z'
'x,-y+1/2,z'
loop_
_atom_site_label
_atom_site_type_symbol
_atom_site_fract_x
_atom_site_fract_y
_atom_site_fract_z
Tl1 Tl 0.2411 0.2500 0.2148
Tc1 Tc 0.1904 0.7500 0.6626
Ag1 Ag 0.4515 0.2500 0.8832
Se1 Se 0.0403 0.7500 0.3859
Se2 Se 0.2109 0.7500 0.9186
Se3 Se 0.3779 0.2500 0.6122
```

Computed properties:
Theoretical density: 7.7 Mg/m³
Uncorrected energy: -54.1 eV for the cell shown
Calculated volume: 280.3 Å³/cell
E above lowest polymorph: 0.000 eV per atom

=====

Compound: Lu4CdPN2
Source: OQMD
Functional: PBE
Structure: relaxed

```
data_Lu4CdPN2
_cell_length_a 3.4958
_cell_length_b 3.4958
_cell_length_c 13.8578
_cell_angle_alpha 90.00
_cell_angle_beta 90.00
_cell_angle_gamma 120.00
_symmetry_space_group_name_H-M 'P -6 m 2'
_symmetry_Int_Tables_number 187
_symmetry_space_group_name_Hall 'P -6 2'
loop_
_atom_site_label
_atom_site_type_symbol
_atom_site_fract_x
_atom_site_fract_y
_atom_site_fract_z
Lu1 Lu 0.0000 0.0000 0.1297
Lu2 Lu 0.3333 0.6667 0.3192
Cd1 Cd 0.0000 0.0000 0.5000
P1 P 0.3333 0.6667 0.0000
N1 N 0.6667 0.3333 0.2269
```

Computed properties:
Theoretical density: 9.9 Mg/m³
Uncorrected energy: -50.8 eV for the cell shown
Calculated volume: 146.7 Å³/cell

=====

Compound: BeHgW
Source: OQMD
Functional: PBE
Structure: relaxed

```
data_BeHgW
_cell_length_a 6.1317
_cell_length_b 6.1317
_cell_length_c 6.1317
_cell_angle_alpha 90.00
_cell_angle_beta 90.00
_cell_angle_gamma 90.00
_symmetry_space_group_name_H-M 'F -4 3 m'
_symmetry_Int_Tables_number 216
_symmetry_space_group_name_Hall 'F -4 2 3'
loop_
_atom_site_label
_atom_site_type_symbol
_atom_site_fract_x
_atom_site_fract_y
_atom_site_fract_z
Be1 Be 0.0000 0.0000 0.0000
Hg1 Hg 0.0000 0.0000 0.5000
W1 W 0.2500 0.2500 0.2500
```

Computed properties:
Theoretical density: 11.3 Mg/m³
Uncorrected energy: -49.4 eV for the cell shown
Calculated volume: 230.5 Å³/cell
E above lowest polymorph: 0.554 eV per atom

=====

Compound: Ac2Hf3Mo
Source: OQMD
Functional: PBE
Structure: relaxed

```
data_Ac2Hf3Mo
_cell_length_a 5.7931
_cell_length_b 5.7931
_cell_length_c 6.0830
_cell_angle_alpha 90.00
_cell_angle_beta 90.00
_cell_angle_gamma 120.00
_symmetry_space_group_name_H-M 'P 6/m m m'
_symmetry_Int_Tables_number 191
_symmetry_space_group_name_Hall '-P 6 2'
loop_
_atom_site_label
_atom_site_type_symbol
_atom_site_fract_x
_atom_site_fract_y
_atom_site_fract_z
Ac1 Ac 0.3333 0.6667 0.0000
Hf1 Hf 0.0000 0.5000 0.5000
Mo1 Mo 0.0000 0.0000 0.0000
```

Computed properties:
Theoretical density: 10.2 Mg/m³
Uncorrected energy: -41.4 eV for the cell shown
Calculated volume: 176.8 Å³/cell
DFT formation energy: 1.260 eV/atom

=====

Compound: Ba2ZrTl
Source: OQMD
Functional: PBE
Structure: relaxed

```
data_Ba2ZrTl
_cell_length_a 8.1584
_cell_length_b 8.1584
_cell_length_c 8.1584
_cell_angle_alpha 90.00
_cell_angle_beta 90.00
_cell_angle_gamma 90.00
_symmetry_space_group_name_H-M 'F -4 3 m'
_symmetry_Int_Tables_number 216
_symmetry_space_group_name_Hall 'F -4 2 3'
loop_
_atom_site_label
_atom_site_type_symbol
_atom_site_fract_x
_atom_site_fract_y
_atom_site_fract_z
Ba1 Ba 0.0000 0.0000 0.0000
Ba2 Ba 0.2500 0.2500 0.2500
Zr1 Zr 0.0000 0.0000 0.5000
Tl1 Tl 0.2500 0.2500 0.7500
```

Computed properties:
Theoretical density: 7.0 Mg/m³
Uncorrected energy: -53.4 eV for the cell shown
Calculated volume: 543.0 Å³/cell

=====

Compound: GaAsOs
Source: OQMD
Functional: PBE
Structure: relaxed

```
data_GaAsOs
_cell_length_a 5.9769
_cell_length_b 5.9769
_cell_length_c 5.9769
_cell_angle_alpha 90.00
_cell_angle_beta 90.00
_cell_angle_gamma 90.00
_symmetry_space_group_name_H-M 'F -4 3 m'
_symmetry_Int_Tables_number 216
_symmetry_space_group_name_Hall 'F -4 2 3'
loop_
_atom_site_label
_atom_site_type_symbol
_atom_site_fract_x
_atom_site_fract_y
_atom_site_fract_z
Ga1 Ga 0.0000 0.0000 0.0000
As1 As 0.0000 0.0000 0.5000
Os1 Os 0.2500 0.2500 0.7500
```

Computed properties:
Theoretical density: 10.4 Mg/m³
Uncorrected energy: -73.4 eV for the cell shown
Calculated volume: 213.5 Å³/cell
E above lowest polymorph: 0.000 eV per atom

=====

Compound: Gd5B
Source: OQMD
Functional: PBE
Structure: relaxed

```
data_Gd5B
_cell_length_a 6.1783
_cell_length_b 6.1783
_cell_length_c 5.9397
_cell_angle_alpha 90.00
_cell_angle_beta 90.00
_cell_angle_gamma 120.00
_symmetry_space_group_name_H-M 'P 6/m m m'
_symmetry_Int_Tables_number 191
_symmetry_space_group_name_Hall '-P 6 2'
loop_
_atom_site_label
_atom_site_type_symbol
_atom_site_fract_x
_atom_site_fract_y
_atom_site_fract_z
Gd1 Gd 0.0000 0.5000 0.0000
Gd2 Gd 0.3333 0.6667 0.5000
B1 B 0.0000 0.0000 0.5000
```

Computed properties:
Theoretical density: 6.7 Mg/m³
Uncorrected energy: -22.5 eV for the cell shown
Calculated volume: 196.3 Å³/cell

=====

Compound: HfMgNiHg
Source: OQMD
Functional: PBE
Structure: relaxed

```
data_HfMgNiHg
_cell_length_a 6.4921
_cell_length_b 6.4921
_cell_length_c 6.4921
_cell_angle_alpha 90.00
_cell_angle_beta 90.00
_cell_angle_gamma 90.00
_symmetry_space_group_name_H-M 'F -4 3 m'
_symmetry_Int_Tables_number 216
_symmetry_space_group_name_Hall 'F -4 2 3'
loop_
_atom_site_label
_atom_site_type_symbol
_atom_site_fract_x
_atom_site_fract_y
_atom_site_fract_z
Hf1 Hf 0.0000 0.0000 0.0000
Mg1 Mg 0.2500 0.2500 0.7500
Ni1 Ni 0.2500 0.2500 0.2500
Hg1 Hg 0.0000 0.0000 0.5000
```

Computed properties:
Theoretical density: 11.2 Mg/m³
Uncorrected energy: -70.3 eV for the cell shown
Calculated volume: 273.6 Å³/cell
E above lowest polymorph: 0.110 eV per atom